TlCoP2Se8 | PBE-GGA | relaxed

Calculated values
Raw formation energy   -0.05 eV per atom
Crystal system   trigonal
Energy   -4.06 eV per atom

Lattice parameters (Å, degrees): 5.8862 5.8862 10.4528 90.00 90.00 120.00
Space group P-3 (No. 147)
Asymmetric unit:
Tl  0.0000  0.0000  0.0000
Co  0.0000  0.0000  0.5000
P  0.3333  0.6667  0.7070
Se  0.0433  0.7087  0.3572
Se  0.3333  0.6667  0.9140

CoSiP2 | PBE-GGA | relaxed

Calculated values
Raw formation energy   0.37 eV per atom
Crystal system   cubic
Energy   -5.47 eV per atom

Lattice parameters (Å, degrees): 5.8880 5.8880 5.8880 90.00 90.00 90.00
Space group Fm-3m (No. 225)
Asymmetric unit:
Co  0.0000  0.0000  0.0000
Si  0.0000  0.0000  0.5000
P  0.2500  0.2500  0.2500

Co2SiP | PBE-GGA | relaxed

Calculated values
Raw formation energy   -0.20 eV per atom
Crystal system   orthorhombic
Energy   -6.46 eV per atom

Lattice parameters (Å, degrees): 5.4440 5.8514 2.7571 90.00 90.00 90.00
Space group Cmmm (No. 65)
Asymmetric unit:
Co  0.2500  0.2500  0.0000
Si  0.0000  0.0000  0.5000
P  0.0000  0.5000  0.5000

Co2SiP | PBE-GGA | relaxed

Calculated values
Raw formation energy   -0.30 eV per atom
Crystal system   trigonal
Energy   -6.56 eV per atom

Lattice parameters (Å, degrees): 2.6886 2.6886 21.2722 90.00 90.00 120.00
Space group R-3m (No. 166, hexagonal axes)
Asymmetric unit:
Co  0.0000  0.0000  0.2470
Si  0.0000  0.0000  0.0000
P  0.0000  0.0000  0.5000

CoSiP2 | PBE-GGA | relaxed

Calculated values
Raw formation energy   -0.05 eV per atom
Crystal system   orthorhombic
Energy   -5.88 eV per atom

Lattice parameters (Å, degrees): 4.2397 7.8359 3.5725 90.00 90.00 90.00
Space group Cmmm (No. 65)
Asymmetric unit:
Co  0.0000  0.0000  0.0000
Si  0.0000  0.5000  0.0000
P  0.0000  0.1770  0.5000

Co2SiP | PBE-GGA | relaxed

Calculated values
Raw formation energy   -0.03 eV per atom
Crystal system   tetragonal
Energy   -6.29 eV per atom

Lattice parameters (Å, degrees): 2.6660 2.6660 6.8915 90.00 90.00 90.00
Space group P4mm (No. 99)
Asymmetric unit:
Co  0.0000  0.0000  0.0000
Co  0.5000  0.5000  0.2569
Si  0.5000  0.5000  0.8017
P  0.0000  0.0000  0.4399

CoSiP2 | PBE-GGA | relaxed

Calculated values
Raw formation energy   -0.03 eV per atom
Crystal system   monoclinic
Energy   -5.86 eV per atom

Lattice parameters (Å, degrees): 6.7128 3.3792 5.7413 90.00 117.49 90.00
Space group Cm (No. 8)
Asymmetric unit:
Co  0.0000  0.0000  0.0000
Si  0.2278  0.0000  0.7791
P  0.2494  0.5000  0.1419
P  0.3220  0.0000  0.4399

CoSi4P | PBE-GGA | relaxed

Calculated values
Raw formation energy   0.72 eV per atom
Crystal system   cubic
Energy   -4.99 eV per atom

Lattice parameters (Å, degrees): 7.0080 7.0080 7.0080 90.00 90.00 90.00
Space group F-43m (No. 216)
Asymmetric unit:
Co  0.0000  0.0000  0.0000
Si  0.1248  0.1248  0.3752
P  0.2500  0.2500  0.7500